A plane-wave DFT calculation with PBE was carried out for a relaxed CdSn crystal.

As for the symmetry: P6_3/m, No. 176. For the size of the total moment, the calculation gives 0.000 μB/atom. For the energy of formation, the calculation gives 0.08 eV/atom.

Geometry as POSCAR:
```
CdSn
1.0
8.922 0.000 0.000
-4.461 7.726 0.000
0.000 0.000 4.654
Cd Sn
6 6
Direct
0.562 0.116 0.250
0.446 0.562 0.750
0.884 0.446 0.250
0.438 0.884 0.750
0.554 0.438 0.250
0.116 0.554 0.750
0.139 0.284 0.250
0.855 0.139 0.750
0.716 0.855 0.250
0.861 0.716 0.750
0.145 0.861 0.250
0.284 0.145 0.750
```



A plane-wave DFT calculation with PBE was carried out for a relaxed PtSe2Cl crystal.

As for the symmetry: Fm-3m, No. 225. The energy relative to the lowest polymorph listed for this composition comes out at 18.88 kcal/mol of atoms. For the size of the total moment, the calculation gives 0.000 μB/atom. The calculation puts the formation energy (no corrections) at 0.474 eV/atom.

Geometry as POSCAR:
```
PtSe2Cl
1.0
0.000 3.310 3.310
3.310 0.000 3.310
3.310 3.310 0.000
Se Pt Cl
2 1 1
Direct
0.250 0.250 0.250
0.750 0.750 0.750
0.500 0.500 0.500
0.000 0.000 0.000
```



A plane-wave DFT calculation with PBE was carried out for a relaxed ScHgOs3 crystal.

As for the symmetry: Pm-3m, No. 221. The energy relative to the lowest polymorph listed for this composition comes out at 0.00 kcal/mol of atoms. For the size of the total moment, the calculation gives 0.360 μB/atom. For the energy of formation, the calculation gives 2.26 eV/atom.

Geometry as POSCAR:
```
ScHgOs3
1.0
4.681 0.000 0.000
0.000 4.681 0.000
0.000 0.000 4.681
Sc Os Hg
1 3 1
Direct
0.000 0.000 0.000
0.000 0.500 0.000
0.000 0.000 0.500
0.500 0.000 0.000
0.500 0.500 0.500
```



A plane-wave DFT calculation with PBE was carried out for a relaxed Tm2PaRu2 crystal.

As for the symmetry: C2/c, No. 15. The energy relative to the lowest polymorph listed for this composition comes out at 0.00 kcal/mol of atoms. For the size of the total moment, the calculation gives 0.000 μB/atom. For the energy of formation, the calculation gives -0.52 eV/atom.

Geometry as POSCAR:
```
Tm2PaRu2
1.0
5.729 0.154 0.921
2.654 5.079 0.921
0.128 0.080 7.805
Tm Pa Ru
4 2 4
Direct
0.482 0.215 0.152
0.785 0.518 0.348
0.518 0.785 0.848
0.215 0.482 0.652
0.145 0.855 0.250
0.855 0.145 0.750
0.735 0.006 0.513
0.994 0.265 0.987
0.265 0.994 0.487
0.006 0.735 0.013
```